(1)
GdZn2Ga2 after structural relaxation. Source: OQMD via LeMat-Bulk, functional GGA-PBE.

Cell lengths 6.141, 6.141, 6.141 Å; angles 140.65, 140.65, 56.87 degrees
Fractional coordinates of all 5 atoms:
Gd: 0.000 0.000 0.000
Zn: 0.250 0.750 0.500
Zn: 0.750 0.250 0.500
Ga: 0.387 0.387 0.000
Ga: 0.613 0.613 0.000

Calculated values
Crystal system = tetragonal



(2)
Sc4CoN3 after structural relaxation. Source: OQMD via LeMat-Bulk, functional GGA-PBE.

Cell lengths 3.170, 3.170, 23.010 Å; angles 90.00, 90.00, 120.00 degrees
Fractional coordinates of all 16 atoms:
Sc: 0.000 0.000 0.167
Sc: 0.000 0.000 0.333
Sc: 0.000 0.000 0.667
Sc: 0.000 0.000 0.833
Sc: 0.333 0.667 0.055
Sc: 0.333 0.667 0.445
Sc: 0.667 0.333 0.555
Sc: 0.667 0.333 0.945
Co: 0.333 0.667 0.250
Co: 0.667 0.333 0.750
N: 0.000 0.000 0.000
N: 0.000 0.000 0.500
N: 0.333 0.667 0.615
N: 0.333 0.667 0.885
N: 0.667 0.333 0.115
N: 0.667 0.333 0.385

Calculated values
Crystal system = hexagonal



(3)
GaCu2B after structural relaxation. Source: OQMD via LeMat-Bulk, functional GGA-PBE.

Cell lengths 5.707, 5.707, 5.707 Å; angles 90.00, 90.00, 90.00 degrees
Fractional coordinates of all 16 atoms:
Ga: 0.000 0.000 0.000
Ga: 0.000 0.000 0.500
Ga: 0.000 0.500 0.000
Ga: 0.500 0.000 0.000
Cu: 0.279 0.279 0.279
Cu: 0.279 0.279 0.721
Cu: 0.279 0.721 0.279
Cu: 0.279 0.721 0.721
Cu: 0.721 0.279 0.279
Cu: 0.721 0.279 0.721
Cu: 0.721 0.721 0.279
Cu: 0.721 0.721 0.721
B: 0.000 0.500 0.500
B: 0.500 0.000 0.500
B: 0.500 0.500 0.000
B: 0.500 0.500 0.500

Calculated values
Crystal system = cubic



no.,energy (eV/atom)
1,-3.1141
2,-8.5669
3,-3.8026